Entry 1:
MgBeMoN2: relaxed, PBE-GGA.

Results
calculated density: 4.36 g/cm3
raw formation energy: 1.73 eV/atom
uncorrected energy: -4.832 eV/atom
V: 59.9 Å³ per cell

Lattice parameters (Å, degrees): 3.7876 3.7876 4.1719 90.00 90.00 90.00
Closest atoms and distances in Å follow each position.
Space group P4/mmm (No. 123)
One atom of each set of equivalent atoms:
Mg  0.0000  0.0000  0.0000  4 N 1.89, 2 Be 2.09
Be  0.0000  0.0000  0.5000  2 Mg 2.09
Mo  0.5000  0.5000  0.5000  4 Be 2.68, 8 N 2.82
N  0.0000  0.5000  0.0000  2 Mg 1.89

=====

Entry 2:
K6Tl3Br14: relaxed, PBE-GGA.

Results
calculated density: 3.76 g/cm3
raw formation energy: -1.16 eV/atom
uncorrected energy: -2.768 eV/atom
V: 868.6 Å³ per cell

Lattice parameters (Å, degrees): 12.2194 12.2194 6.7175 90.00 90.00 120.00
Closest atoms and distances in Å follow each position.
Space group P3 (No. 143)
One atom of each set of equivalent atoms:
K  0.0090  0.4518  0.0000  6 Br 3.29-3.62
K  0.3243  0.2130  0.5246  7 Br 3.29-3.66
Tl  0.0000  0.0000  0.1165  4 Br 2.61-2.63
Tl  0.3333  0.6667  0.5984  4 Br 2.60-2.64
Tl  0.6667  0.3333  0.2502  6 Br 3.07
Br  0.0000  0.0000  0.7276  1 Tl 2.61
Br  0.0855  0.2282  0.2640  1 Tl 2.63
Br  0.1894  0.7496  0.7536  1 Tl 2.64
Br  0.3333  0.6667  0.2120  1 Tl 2.60
Br  0.4207  0.2484  0.0171  1 Tl 3.07, 2 K 3.29
Br  0.5072  0.0874  0.4834  1 Tl 3.07, 3 K 3.29-3.41

=====

Entry 3:
CsBiTe3Pb: relaxed, PBE-GGA.

Results
calculated density: 5.92 g/cm3
raw formation energy: -0.51 eV/atom
uncorrected energy: -3.488 eV/atom
V: 523.0 Å³ per cell

Lattice parameters (Å, degrees): 10.6635 4.5616 11.1680 90.00 105.71 90.00
Closest atoms and distances in Å follow each position.
Space group P2_1/m (No. 11)
One atom of each set of equivalent atoms:
Cs  0.1874  0.2500  0.2253  7 Te 3.83-4.24, 1 Pb 4.06
Bi  0.3583  0.7500  0.8565  6 Te 3.07-3.26
Te  0.1423  0.2500  0.8428  1 Pb 3.02, 2 Bi 3.22
Te  0.3129  0.7500  0.5557  2 Pb 3.06, 1 Bi 3.26
Te  0.4396  0.7500  0.1419  3 Bi 3.07-3.13
Pb  0.1250  0.2500  0.5680  3 Te 3.02-3.06

=====

Entry 4:
SmDyPd: relaxed, PBE-GGA.

Results
calculated density: 8.83 g/cm3
offset from the most stable computed form: 0.0695 eV/atom
uncorrected energy: -5.353 eV/atom
energy of formation from the pure elements: -49.7 kJ per mole of atoms
V: 315.3 Å³ per cell

Lattice parameters (Å, degrees): 12.3314 5.0296 5.0842 90.00 90.02 90.00
Closest atoms and distances in Å follow each position.
Space group C2/m (No. 12)
One atom of each set of equivalent atoms:
Sm  0.1050  0.0000  0.2504  4 Pd 3.05-3.14
Dy  0.1175  0.5000  0.7497  4 Pd 2.95-3.08
Pd  0.2427  0.0000  0.7513  4 Dy 2.95-3.08, 4 Sm 3.05-3.14

=====

Entry 5:
AgSb: relaxed, PBE-GGA.

Results
calculated density: 7.82 g/cm3
offset from the most stable computed form: 0.0429 eV/atom
raw formation energy: 0.12 eV/atom
uncorrected energy: -3.364 eV/atom
V: 389.9 Å³ per cell

Lattice parameters (Å, degrees): 6.1510 7.1571 8.8557 90.00 90.00 90.00
Closest atoms and distances in Å follow each position.
Space group Pnma (No. 62)
One atom of each set of equivalent atoms:
Ag  0.2503  0.0459  0.0106  4 Sb 2.87-2.89, 3 Ag 2.92-3.15
Sb  0.2468  0.2500  0.2917  4 Ag 2.87-2.89, 2 Sb 3.16
Sb  0.2482  0.7500  0.2297  4 Ag 2.87-2.88, 2 Sb 3.10

=====

Entry 6:
ReAs2SeBr: relaxed, PBE-GGA.

Results
calculated density: 7.00 g/cm3
offset from the most stable computed form: 0.2033 eV/atom
raw formation energy: 0.64 eV/atom
uncorrected energy: -4.746 eV/atom
V: 117.4 Å³ per cell

Lattice parameters (Å, degrees): 4.8331 4.8331 5.0279 90.00 90.00 90.00
Closest atoms and distances in Å follow each position.
Space group P4/mmm (No. 123)
One atom of each set of equivalent atoms:
Re  0.0000  0.0000  0.0000  4 As 2.42, 2 Br 2.51
As  0.0000  0.5000  0.0000  2 Re 2.42
Se  0.5000  0.5000  0.5000  4 Br 3.42, 8 As 3.49
Br  0.0000  0.0000  0.5000  2 Re 2.51

=====

Entry 7:
Rb3GaO3: relaxed, PBE-GGA.

Results
calculated density: 3.51 g/cm3
offset from the most stable computed form: 0.1080 eV/atom
raw formation energy: -1.43 eV/atom
uncorrected energy: -4.400 eV/atom
V: 353.8 Å³ per cell

Lattice parameters (Å, degrees): 8.3488 5.8522 8.3490 90.00 119.86 90.00
Closest atoms and distances in Å follow each position.
Space group P2_1/m (No. 11)
One atom of each set of equivalent atoms:
Rb  0.1462  0.2500  0.3237  4 O 2.81-2.96
Rb  0.3224  0.7500  0.1461  4 O 2.81-2.96
Rb  0.3244  0.7500  0.6768  4 O 2.81-2.96
Ga  0.1669  0.2500  0.8330  3 O 1.81
O  0.0833  0.7500  0.2925  1 Ga 1.81
O  0.2912  0.2500  0.0833  1 Ga 1.81
O  0.2929  0.2500  0.7083  1 Ga 1.81

=====

Entry 8:
Ta2InCu: relaxed, PBE-GGA.

Results
calculated density: 12.71 g/cm3
uncorrected energy: -7.507 eV/atom
energy of formation from the pure elements: 12.3 kJ per mole of atoms
V: 70.6 Å³ per cell

Lattice parameters (Å, degrees): 2.8874 2.8874 8.4630 90.00 90.00 90.00
Closest atoms and distances in Å follow each position.
Space group P4mm (No. 99)
One atom of each set of equivalent atoms:
Ta  0.0000  0.0000  0.0000  8 Ta 2.89-3.04, 4 In 3.10
Ta  0.5000  0.5000  0.2664  4 Cu 2.79, 8 Ta 2.89-3.04
In  0.5000  0.5000  0.7236  4 Cu 2.84, 4 In 2.89, 4 Ta 3.10
Cu  0.0000  0.0000  0.4903  4 Ta 2.79, 4 In 2.84, 4 Cu 2.89